Hg2WF6: optimized geometry, PBE+U.

Lattice parameters (Å, degrees): 8.034 5.204 5.204 120.00 90.00 90.00
Each line ends with the local moment (μB).
Fractional positions:
Hg (0.500, 0.667, 0.333)  0.00
Hg (0.500, 0.333, 0.667)  0.00
W (0.000, 0.000, 0.000)  0.43
F (0.139, 0.000, 0.296)  -0.01
F (0.139, 0.704, 0.704)  -0.01
F (0.861, 0.000, 0.704)  -0.01
F (0.861, 0.704, 0.000)  -0.01
F (0.861, 0.296, 0.296)  -0.01
F (0.139, 0.296, 0.000)  -0.01

Values from the calculation:
- DFT total energy: -4.159 eV/atom
- Volume: 20.9 Å³ per atom